A geometry-optimized Pa2GaSi3Rh4 structure, computed with PBE.

Cell: 4.078 4.078 10.150 Å, 90.00 90.00 90.00°
Atoms (fractional coordinates):
Pa1 0.000 0.500 0.250
Pa2 0.500 0.000 0.750
Ga1 0.000 0.000 0.500
Si1 0.000 0.500 0.870
Si2 0.500 0.000 0.130
Si3 0.500 0.500 0.500
Rh1 0.000 0.000 0.000
Rh2 0.000 0.500 0.639
Rh3 0.500 0.000 0.361
Rh4 0.500 0.500 0.000

DOS(E_F) in states/eV/atom: 0.781
Theoretical density in Mg/m³: 10.11
Uncorrected formation energy in eV/f.u.: -9.24
Space-group type: P-4m2

=====

A geometry-optimized La2TlCl structure, computed with PBE.

Cell: 3.624 3.624 10.064 Å, 90.00 90.00 113.91°
Atoms (fractional coordinates):
La1 0.000 0.000 0.235
La2 0.000 0.000 0.765
Tl1 0.500 0.500 0.500
Cl1 0.500 0.500 0.000

DOS(E_F) in states/eV/atom: 0.925
Theoretical density in Mg/m³: 7.11
Uncorrected formation energy in eV/f.u.: -3.16
Space-group type: Cmmm

=====

A geometry-optimized LiPrAlAu2 structure, computed with PBE.

Cell: 6.721 6.721 6.721 Å, 144.01 144.01 51.81°
Atoms (fractional coordinates):
Li1 0.000 0.000 0.000
Pr1 0.750 0.250 0.500
Al1 0.500 0.500 0.000
Au1 0.131 0.631 0.500
Au2 0.369 0.869 0.500

DOS(E_F) in states/eV/atom: 0.768
Calculated formation energy in eV per atom: -0.6507
Theoretical density in Mg/m³: 9.06
Space-group type: I-4m2

=====

A geometry-optimized InAg2P structure, computed with PBE.

Cell: 4.778 4.778 4.778 Å, 60.00 60.00 60.00°
Atoms (fractional coordinates):
In1 0.000 0.000 0.000
Ag1 0.250 0.250 0.250
Ag2 0.750 0.750 0.750
P1 0.500 0.500 0.500

DOS(E_F) in states/eV/atom: 0.088
Calculated formation energy in eV per atom: 0.2574
Theoretical density in Mg/m³: 7.78
Space-group type: Fm-3m